Record 1
First-principles (PBE-GGA) data for a geometry-optimized InGa2Ag structure, as listed in Alexandria via LeMat-Bulk.

Unit cell a=5.5515 b=5.5515 c=5.5515 alpha=47.98 beta=47.98 gamma=47.98
Closest atoms and distances in Å follow each position.
Sites, in units of the cell vectors:
In 0.0000 0.0000 0.0000  8 Ga 3.03-3.36
Ga 0.2284 0.2284 0.2284  3 Ag 2.76, 3 In 3.03
Ga 0.7716 0.7716 0.7716  3 Ag 2.76, 3 In 3.03
Ag 0.5000 0.5000 0.5000  6 Ga 2.76

Summary:
- ΔH_f (0 K): 0.0846 eV/atom
- Fermi-level density of states: 0.419 states/eV per atom



Record 2
First-principles (PBE-GGA) data for a geometry-optimized Li2CuF4 structure, as listed in Alexandria via LeMat-Bulk.

Unit cell a=5.1416 b=5.1416 c=5.8595 alpha=90.00 beta=90.00 gamma=69.49
Closest atoms and distances in Å follow each position.
Sites, in units of the cell vectors:
Li 0.0023 0.4977 0.2500  6 F 2.07-2.12
Li 0.4977 0.0023 0.7500  6 F 2.07-2.12
Li 0.5023 0.9977 0.2500  6 F 2.07-2.12
Li 0.9977 0.5023 0.7500  6 F 2.07-2.12
Cu 0.0000 0.0000 0.0000  4 F 1.95-1.96
Cu 0.5000 0.5000 0.5000  4 F 1.95-1.96
F 0.2320 0.2320 0.0000  1 Cu 1.96, 4 Li 2.07-2.09
F 0.2350 0.7650 0.7653  1 Cu 1.95, 2 Li 2.12
F 0.2650 0.7350 0.2653  1 Cu 1.95, 2 Li 2.12
F 0.2680 0.2680 0.5000  1 Cu 1.96, 4 Li 2.07-2.09
F 0.7320 0.7320 0.5000  1 Cu 1.96, 4 Li 2.07-2.09
F 0.7350 0.2650 0.7347  1 Cu 1.95, 2 Li 2.12
F 0.7650 0.2350 0.2347  1 Cu 1.95, 2 Li 2.12
F 0.7680 0.7680 0.0000  1 Cu 1.96, 4 Li 2.07-2.09

Summary:
- Formation energy without anion corrections: -2.32 eV/atom
- Energy above the lowest structure with this stoichiometry: 0.026 eV/atom



Record 3
First-principles (PBE-GGA) data for a geometry-optimized AuBrN3 structure, as listed in Alexandria via LeMat-Bulk.

Unit cell a=3.9991 b=3.9991 c=3.9991 alpha=90.00 beta=90.00 gamma=90.00
Closest atoms and distances in Å follow each position.
Sites, in units of the cell vectors:
Au 0.0000 0.0000 0.0000  12 N 2.83
Br 0.5000 0.5000 0.5000  6 N 2.00
N 0.0000 0.5000 0.5000  2 Br 2.00
N 0.5000 0.0000 0.5000  2 Br 2.00
N 0.5000 0.5000 0.0000  2 Br 2.00

Summary:
- Formation energy without anion corrections: 2.91 eV/atom
- Fermi-level density of states: 0.088 states/eV per atom